--- a ---
VASP calculation (PBE) on an optimized crystal structure of CsHg4Au.

```
data_CsHg4Au
_chemical_formula_sum 'Cs2 Hg8 Au2'
_space_group_name_H-M_alt 'P 1'
_space_group_IT_number 1
_cell_length_a 5.1704
_cell_length_b 7.8875
_cell_length_c 9.8932
_cell_angle_alpha 90.00
_cell_angle_beta 105.15
_cell_angle_gamma 90.00
loop_
_space_group_symop_operation_xyz
'x,y,z'
loop_
_atom_site_label
_atom_site_type_symbol
_atom_site_fract_x
_atom_site_fract_y
_atom_site_fract_z
Cs1 Cs 0.1247 0.2500 0.2495
Cs2 Cs 0.8753 0.7500 0.7505
Hg1 Hg 0.5000 0.5000 0.0000
Hg2 Hg 0.5000 0.0000 0.0000
Hg3 Hg 0.6868 0.9459 0.3736
Hg4 Hg 0.3132 0.0541 0.6264
Hg5 Hg 0.3132 0.4459 0.6264
Hg6 Hg 0.6868 0.5541 0.3736
Hg7 Hg 0.0690 0.7500 0.1381
Hg8 Hg 0.9310 0.2500 0.8619
Au1 Au 0.2221 0.7500 0.4443
Au2 Au 0.7779 0.2500 0.5557
```

**Volume**: 194.7 Å³/f.u.
**Crystal system**: orthorhombic

--- b ---
VASP calculation (PBE) on an optimized crystal structure of CsHg4Au.

```
data_CsHg4Au
_chemical_formula_sum 'Cs1 Hg4 Au1'
_space_group_name_H-M_alt 'P 1'
_space_group_IT_number 1
_cell_length_a 6.5214
_cell_length_b 6.5214
_cell_length_c 6.5214
_cell_angle_alpha 60.00
_cell_angle_beta 60.00
_cell_angle_gamma 60.00
loop_
_space_group_symop_operation_xyz
'x,y,z'
loop_
_atom_site_label
_atom_site_type_symbol
_atom_site_fract_x
_atom_site_fract_y
_atom_site_fract_z
Cs1 Cs 0.2500 0.2500 0.2500
Au1 Au 0.0000 0.0000 0.0000
Hg1 Hg 0.6264 0.6264 0.1208
Hg2 Hg 0.6264 0.1208 0.6264
Hg3 Hg 0.6264 0.6264 0.6264
Hg4 Hg 0.1208 0.6264 0.6264
```

**Volume**: 196.1 Å³/f.u.
**Crystal system**: cubic

What are the relative energies? In kJ/mol of atoms: a 0.0; b 8.0.

--- a ---
VASP calculation (PBE) on an optimized crystal structure of CsHg2Au.

```
data_CsHg2Au
_chemical_formula_sum 'Cs1 Hg2 Au1'
_space_group_name_H-M_alt 'P 1'
_space_group_IT_number 1
_cell_length_a 5.8049
_cell_length_b 5.8049
_cell_length_c 5.8049
_cell_angle_alpha 60.00
_cell_angle_beta 60.00
_cell_angle_gamma 60.00
loop_
_space_group_symop_operation_xyz
'x,y,z'
loop_
_atom_site_label
_atom_site_type_symbol
_atom_site_fract_x
_atom_site_fract_y
_atom_site_fract_z
Cs1 Cs 0.0000 0.0000 0.0000
Au1 Au 0.5000 0.5000 0.5000
Hg1 Hg 0.2500 0.2500 0.2500
Hg2 Hg 0.7500 0.7500 0.7500
```

**Volume**: 138.3 Å³/f.u.
**Crystal system**: cubic

--- b ---
VASP calculation (PBE) on an optimized crystal structure of CsHg2Au.

```
data_CsHg2Au
_chemical_formula_sum 'Cs1 Hg2 Au1'
_space_group_name_H-M_alt 'P 1'
_space_group_IT_number 1
_cell_length_a 5.0519
_cell_length_b 5.0519
_cell_length_c 7.0981
_cell_angle_alpha 69.15
_cell_angle_beta 69.15
_cell_angle_gamma 60.00
loop_
_space_group_symop_operation_xyz
'x,y,z'
loop_
_atom_site_label
_atom_site_type_symbol
_atom_site_fract_x
_atom_site_fract_y
_atom_site_fract_z
Cs1 Cs 0.4917 0.4917 0.5250
Hg1 Hg 0.0297 0.0297 0.9109
Hg2 Hg 0.2916 0.2916 0.1253
Au1 Au 0.6871 0.6871 0.9387
```

**Volume**: 143.0 Å³/f.u.
**Crystal system**: trigonal

What are the relative energies? In kJ/mol of atoms: a 11.5; b 0.0.

--- a ---
VASP calculation (PBE) on an optimized crystal structure of CsHg2Au.

```
data_CsHg2Au
_chemical_formula_sum 'Cs2 Hg4 Au2'
_space_group_name_H-M_alt 'P 1'
_space_group_IT_number 1
_cell_length_a 5.9522
_cell_length_b 5.9522
_cell_length_c 10.4342
_cell_angle_alpha 73.43
_cell_angle_beta 73.43
_cell_angle_gamma 90.00
loop_
_space_group_symop_operation_xyz
'x,y,z'
loop_
_atom_site_label
_atom_site_type_symbol
_atom_site_fract_x
_atom_site_fract_y
_atom_site_fract_z
Cs1 Cs 0.5000 0.5000 0.0000
Cs2 Cs 0.2500 0.7500 0.5000
Au1 Au 0.0000 0.0000 0.0000
Au2 Au 0.7500 0.2500 0.5000
Hg1 Hg 0.8137 0.1250 0.2500
Hg2 Hg 0.9363 0.6250 0.2500
Hg3 Hg 0.3750 0.1863 0.7500
Hg4 Hg 0.8750 0.0637 0.7500
```

**Volume**: 169.1 Å³/f.u.
**Crystal system**: tetragonal

--- b ---
VASP calculation (PBE) on an optimized crystal structure of CsHg2Au.

```
data_CsHg2Au
_chemical_formula_sum 'Cs1 Hg2 Au1'
_space_group_name_H-M_alt 'P 1'
_space_group_IT_number 1
_cell_length_a 4.0327
_cell_length_b 4.0327
_cell_length_c 7.9290
_cell_angle_alpha 90.00
_cell_angle_beta 90.00
_cell_angle_gamma 90.00
loop_
_space_group_symop_operation_xyz
'x,y,z'
loop_
_atom_site_label
_atom_site_type_symbol
_atom_site_fract_x
_atom_site_fract_y
_atom_site_fract_z
Cs1 Cs 0.5000 0.5000 0.5000
Au1 Au 0.5000 0.5000 0.0000
Hg1 Hg 0.0000 0.0000 0.8111
Hg2 Hg 0.0000 0.0000 0.1889
```

**Volume**: 128.9 Å³/f.u.
**Crystal system**: tetragonal

--- c ---
VASP calculation (PBE) on an optimized crystal structure of CsHg2Au.

```
data_CsHg2Au
_chemical_formula_sum 'Cs1 Hg2 Au1'
_space_group_name_H-M_alt 'P 1'
_space_group_IT_number 1
_cell_length_a 5.8416
_cell_length_b 5.0572
_cell_length_c 5.0572
_cell_angle_alpha 90.00
_cell_angle_beta 90.00
_cell_angle_gamma 90.00
loop_
_space_group_symop_operation_xyz
'x,y,z'
loop_
_atom_site_label
_atom_site_type_symbol
_atom_site_fract_x
_atom_site_fract_y
_atom_site_fract_z
Cs1 Cs 0.5000 0.0000 0.0000
Au1 Au 0.5000 0.5000 0.5000
Hg1 Hg 0.0000 0.0000 0.5000
Hg2 Hg 0.0000 0.5000 0.0000
```

**Volume**: 149.4 Å³/f.u.
**Crystal system**: tetragonal

--- d ---
VASP calculation (PBE) on an optimized crystal structure of CsHg2Au.

```
data_CsHg2Au
_chemical_formula_sum 'Cs2 Hg4 Au2'
_space_group_name_H-M_alt 'P 1'
_space_group_IT_number 1
_cell_length_a 4.8723
_cell_length_b 6.9113
_cell_length_c 8.5724
_cell_angle_alpha 90.00
_cell_angle_beta 90.00
_cell_angle_gamma 110.64
loop_
_space_group_symop_operation_xyz
'x,y,z'
loop_
_atom_site_label
_atom_site_type_symbol
_atom_site_fract_x
_atom_site_fract_y
_atom_site_fract_z
Cs1 Cs 0.9446 0.8891 0.2500
Cs2 Cs 0.0554 0.1109 0.7500
Hg1 Hg 0.3418 0.6837 0.5600
Hg2 Hg 0.6582 0.3163 0.4400
Hg3 Hg 0.6582 0.3163 0.0600
Hg4 Hg 0.3418 0.6837 0.9400
Au1 Au 0.2251 0.4502 0.2500
Au2 Au 0.7749 0.5498 0.7500
```

**Volume**: 135.1 Å³/f.u.
**Crystal system**: orthorhombic

What are the relative energies? In kJ/mol of atoms: a 7.2; b 11.1; c 12.7; d 0.0.

--- a ---
VASP calculation (PBE) on an optimized crystal structure of Cs2HgAu2.

```
data_Cs2HgAu2
_chemical_formula_sum 'Cs2 Hg1 Au2'
_space_group_name_H-M_alt 'P 1'
_space_group_IT_number 1
_cell_length_a 7.0384
_cell_length_b 7.0384
_cell_length_c 6.4802
_cell_angle_alpha 57.11
_cell_angle_beta 57.11
_cell_angle_gamma 90.00
loop_
_space_group_symop_operation_xyz
'x,y,z'
loop_
_atom_site_label
_atom_site_type_symbol
_atom_site_fract_x
_atom_site_fract_y
_atom_site_fract_z
Cs1 Cs 0.7500 0.2500 0.5000
Cs2 Cs 0.2500 0.7500 0.5000
Au1 Au 0.3373 0.3373 0.3255
Au2 Au 0.6627 0.6627 0.6745
Hg1 Hg 0.0000 0.0000 0.0000
```

**Volume**: 205.6 Å³/f.u.
**Crystal system**: tetragonal

--- b ---
VASP calculation (PBE) on an optimized crystal structure of Cs2HgAu2.

```
data_Cs2HgAu2
_chemical_formula_sum 'Cs4 Hg2 Au4'
_space_group_name_H-M_alt 'P 1'
_space_group_IT_number 1
_cell_length_a 6.6983
_cell_length_b 7.0959
_cell_length_c 9.6923
_cell_angle_alpha 106.32
_cell_angle_beta 90.00
_cell_angle_gamma 118.16
loop_
_space_group_symop_operation_xyz
'x,y,z'
loop_
_atom_site_label
_atom_site_type_symbol
_atom_site_fract_x
_atom_site_fract_y
_atom_site_fract_z
Cs1 Cs 0.4984 0.2912 0.1399
Cs2 Cs 0.2073 0.7088 0.3601
Cs3 Cs 0.5016 0.7088 0.8601
Cs4 Cs 0.7927 0.2912 0.6399
Hg1 Hg 0.8575 0.0000 0.2500
Hg2 Hg 0.1425 0.0000 0.7500
Au1 Au 0.7143 0.7085 0.5227
Au2 Au 0.0058 0.2915 0.9773
Au3 Au 0.2857 0.2915 0.4773
Au4 Au 0.9942 0.7085 0.0227
```

**Volume**: 192.5 Å³/f.u.
**Crystal system**: monoclinic

What are the relative energies? In kJ/mol of atoms: a 2.5; b 0.0.

--- a ---
VASP calculation (PBE) on an optimized crystal structure of Cs2HgAu2.

```
data_Cs2HgAu2
_chemical_formula_sum 'Cs4 Hg2 Au4'
_space_group_name_H-M_alt 'P 1'
_space_group_IT_number 1
_cell_length_a 10.1176
_cell_length_b 10.1176
_cell_length_c 4.3948
_cell_angle_alpha 90.00
_cell_angle_beta 90.00
_cell_angle_gamma 90.00
loop_
_space_group_symop_operation_xyz
'x,y,z'
loop_
_atom_site_label
_atom_site_type_symbol
_atom_site_fract_x
_atom_site_fract_y
_atom_site_fract_z
Cs1 Cs 0.3518 0.8518 0.0000
Cs2 Cs 0.8518 0.6482 0.0000
Cs3 Cs 0.6482 0.1482 0.0000
Cs4 Cs 0.1482 0.3518 0.0000
Au1 Au 0.1471 0.6471 0.5000
Au2 Au 0.6471 0.8529 0.5000
Au3 Au 0.8529 0.3529 0.5000
Au4 Au 0.3529 0.1471 0.5000
Hg1 Hg 0.0000 0.0000 0.0000
Hg2 Hg 0.5000 0.5000 0.0000
```

**Volume**: 224.9 Å³/f.u.
**Crystal system**: tetragonal

--- b ---
VASP calculation (PBE) on an optimized crystal structure of Cs2HgAu2.

```
data_Cs2HgAu2
_chemical_formula_sum 'Cs2 Hg1 Au2'
_space_group_name_H-M_alt 'P 1'
_space_group_IT_number 1
_cell_length_a 6.7708
_cell_length_b 6.7708
_cell_length_c 7.9812
_cell_angle_alpha 64.90
_cell_angle_beta 64.90
_cell_angle_gamma 90.00
loop_
_space_group_symop_operation_xyz
'x,y,z'
loop_
_atom_site_label
_atom_site_type_symbol
_atom_site_fract_x
_atom_site_fract_y
_atom_site_fract_z
Cs1 Cs 0.3235 0.3235 0.3531
Cs2 Cs 0.6765 0.6765 0.6469
Au1 Au 0.7500 0.2500 0.5000
Au2 Au 0.2500 0.7500 0.5000
Hg1 Hg 0.0000 0.0000 0.0000
```

**Volume**: 292.7 Å³/f.u.
**Crystal system**: tetragonal

--- c ---
VASP calculation (PBE) on an optimized crystal structure of Cs2HgAu2.

```
data_Cs2HgAu2
_chemical_formula_sum 'Cs4 Hg2 Au4'
_space_group_name_H-M_alt 'P 1'
_space_group_IT_number 1
_cell_length_a 9.0699
_cell_length_b 9.0699
_cell_length_c 4.9135
_cell_angle_alpha 90.00
_cell_angle_beta 90.00
_cell_angle_gamma 90.00
loop_
_space_group_symop_operation_xyz
'x,y,z'
loop_
_atom_site_label
_atom_site_type_symbol
_atom_site_fract_x
_atom_site_fract_y
_atom_site_fract_z
Cs1 Cs 0.1747 0.6747 0.5000
Cs2 Cs 0.6747 0.8253 0.5000
Cs3 Cs 0.8253 0.3253 0.5000
Cs4 Cs 0.3253 0.1747 0.5000
Au1 Au 0.3830 0.8830 0.0000
Au2 Au 0.8830 0.6170 0.0000
Au3 Au 0.6170 0.1170 0.0000
Au4 Au 0.1170 0.3830 0.0000
Hg1 Hg 0.0000 0.0000 0.0000
Hg2 Hg 0.5000 0.5000 0.0000
```

**Volume**: 202.1 Å³/f.u.
**Crystal system**: tetragonal

What are the relative energies? In kJ/mol of atoms: a 5.9; b 13.9; c 0.0.

--- a ---
VASP calculation (PBE) on an optimized crystal structure of Cs6Hg12Au.

```
data_Cs6Hg12Au
_chemical_formula_sum 'Cs6 Hg12 Au1'
_space_group_name_H-M_alt 'P 1'
_space_group_IT_number 1
_cell_length_a 9.5559
_cell_length_b 9.5559
_cell_length_c 9.5559
_cell_angle_alpha 98.71
_cell_angle_beta 98.71
_cell_angle_gamma 98.71
loop_
_space_group_symop_operation_xyz
'x,y,z'
loop_
_atom_site_label
_atom_site_type_symbol
_atom_site_fract_x
_atom_site_fract_y
_atom_site_fract_z
Cs1 Cs 0.0577 0.2412 0.4376
Cs2 Cs 0.7588 0.5624 0.9423
Cs3 Cs 0.5624 0.9423 0.7588
Cs4 Cs 0.9423 0.7588 0.5624
Cs5 Cs 0.2412 0.4376 0.0577
Cs6 Cs 0.4376 0.0577 0.2412
Hg1 Hg 0.4314 0.3058 0.7221
Hg2 Hg 0.3058 0.7221 0.4314
Hg3 Hg 0.7221 0.4314 0.3058
Hg4 Hg 0.5686 0.6942 0.2779
Hg5 Hg 0.6942 0.2779 0.5686
Hg6 Hg 0.2779 0.5686 0.6942
Hg7 Hg 0.2053 0.0725 0.7920
Hg8 Hg 0.2080 0.7947 0.9275
Hg9 Hg 0.9275 0.2080 0.7947
Hg10 Hg 0.7947 0.9275 0.2080
Hg11 Hg 0.7920 0.2053 0.0725
Hg12 Hg 0.0725 0.7920 0.2053
Au1 Au 0.0000 0.0000 0.0000
```

**Volume**: 838.9 Å³/f.u.
**Crystal system**: trigonal

--- b ---
VASP calculation (PBE) on an optimized crystal structure of Cs6Hg12Au.

```
data_Cs6Hg12Au
_chemical_formula_sum 'Cs6 Hg12 Au1'
_space_group_name_H-M_alt 'P 1'
_space_group_IT_number 1
_cell_length_a 9.2899
_cell_length_b 9.2899
_cell_length_c 9.2899
_cell_angle_alpha 97.45
_cell_angle_beta 97.45
_cell_angle_gamma 97.45
loop_
_space_group_symop_operation_xyz
'x,y,z'
loop_
_atom_site_label
_atom_site_type_symbol
_atom_site_fract_x
_atom_site_fract_y
_atom_site_fract_z
Cs1 Cs 0.6742 0.8899 0.2657
Cs2 Cs 0.7343 0.3258 0.1101
Cs3 Cs 0.1101 0.7343 0.3258
Cs4 Cs 0.3258 0.1101 0.7343
Cs5 Cs 0.2657 0.6742 0.8899
Cs6 Cs 0.8899 0.2657 0.6742
Hg1 Hg 0.7497 0.5801 0.4867
Hg2 Hg 0.4867 0.7497 0.5801
Hg3 Hg 0.5801 0.4867 0.7497
Hg4 Hg 0.2503 0.4199 0.5133
Hg5 Hg 0.5133 0.2503 0.4199
Hg6 Hg 0.4199 0.5133 0.2503
Hg7 Hg 0.0528 0.1459 0.3206
Hg8 Hg 0.8541 0.6794 0.9472
Hg9 Hg 0.6794 0.9472 0.8541
Hg10 Hg 0.9472 0.8541 0.6794
Hg11 Hg 0.1459 0.3206 0.0528
Hg12 Hg 0.3206 0.0528 0.1459
Au1 Au 0.0000 0.0000 0.0000
```

**Volume**: 779.5 Å³/f.u.
**Crystal system**: trigonal

What are the relative energies? In kJ/mol of atoms: a 1.7; b 0.0.

--- a ---
VASP calculation (PBE) on an optimized crystal structure of Cs3Hg8Au3.

```
data_Cs3Hg8Au3
_chemical_formula_sum 'Cs3 Hg8 Au3'
_space_group_name_H-M_alt 'P 1'
_space_group_IT_number 1
_cell_length_a 5.2073
_cell_length_b 9.9856
_cell_length_c 9.9856
_cell_angle_alpha 74.96
_cell_angle_beta 74.89
_cell_angle_gamma 74.89
loop_
_space_group_symop_operation_xyz
'x,y,z'
loop_
_atom_site_label
_atom_site_type_symbol
_atom_site_fract_x
_atom_site_fract_y
_atom_site_fract_z
Cs1 Cs 0.5000 0.5000 0.5000
Cs2 Cs 0.8307 0.1693 0.1693
Cs3 Cs 0.1693 0.8307 0.8307
Hg1 Hg 0.6074 0.1028 0.6824
Hg2 Hg 0.3926 0.8972 0.3176
Hg3 Hg 0.6074 0.6824 0.1028
Hg4 Hg 0.3926 0.3176 0.8972
Hg5 Hg 0.8188 0.8262 0.5362
Hg6 Hg 0.1812 0.1738 0.4638
Hg7 Hg 0.8188 0.5362 0.8262
Hg8 Hg 0.1812 0.4638 0.1738
Au1 Au 0.5000 0.0000 0.0000
Au2 Au 0.0000 0.7431 0.2569
Au3 Au 0.0000 0.2569 0.7431
```

**Volume**: 473.6 Å³/f.u.
**Crystal system**: orthorhombic

--- b ---
VASP calculation (PBE) on an optimized crystal structure of Cs3Hg8Au3.

```
data_Cs3Hg8Au3
_chemical_formula_sum 'Cs3 Hg8 Au3'
_space_group_name_H-M_alt 'P 1'
_space_group_IT_number 1
_cell_length_a 5.3597
_cell_length_b 9.9643
_cell_length_c 9.8083
_cell_angle_alpha 64.46
_cell_angle_beta 74.14
_cell_angle_gamma 74.40
loop_
_space_group_symop_operation_xyz
'x,y,z'
loop_
_atom_site_label
_atom_site_type_symbol
_atom_site_fract_x
_atom_site_fract_y
_atom_site_fract_z
Cs1 Cs 0.2914 0.7055 0.7116
Cs2 Cs 0.7086 0.2945 0.2884
Cs3 Cs 0.0000 0.0000 0.0000
Hg1 Hg 0.1280 0.1723 0.5716
Hg2 Hg 0.8720 0.8277 0.4284
Hg3 Hg 0.8539 0.4315 0.8607
Hg4 Hg 0.1461 0.5685 0.1393
Hg5 Hg 0.5037 0.6676 0.3251
Hg6 Hg 0.4963 0.3324 0.6749
Hg7 Hg 0.3432 0.0253 0.2882
Hg8 Hg 0.6568 0.9747 0.7118
Au1 Au 0.0000 0.5000 0.5000
Au2 Au 0.6515 0.6995 0.9974
Au3 Au 0.3485 0.3005 0.0026
```

**Volume**: 447.7 Å³/f.u.
**Crystal system**: monoclinic

What are the relative energies? In kJ/mol of atoms: a 0.0; b 0.8.

--- a ---
VASP calculation (PBE) on an optimized crystal structure of CsHgAu.

```
data_CsHgAu
_chemical_formula_sum 'Cs1 Hg1 Au1'
_space_group_name_H-M_alt 'P 1'
_space_group_IT_number 1
_cell_length_a 5.1066
_cell_length_b 5.0491
_cell_length_c 5.0491
_cell_angle_alpha 120.00
_cell_angle_beta 90.00
_cell_angle_gamma 90.00
loop_
_space_group_symop_operation_xyz
'x,y,z'
loop_
_atom_site_label
_atom_site_type_symbol
_atom_site_fract_x
_atom_site_fract_y
_atom_site_fract_z
Cs1 Cs 0.6664 0.6667 0.3333
Au1 Au 0.1680 0.0000 0.0000
Hg1 Hg 0.1656 0.3333 0.6667
```

**Volume**: 112.7 Å³/f.u.
**Crystal system**: trigonal

--- b ---
VASP calculation (PBE) on an optimized crystal structure of CsHgAu.

```
data_CsHgAu
_chemical_formula_sum 'Cs1 Hg1 Au1'
_space_group_name_H-M_alt 'P 1'
_space_group_IT_number 1
_cell_length_a 4.8580
_cell_length_b 4.8580
_cell_length_c 6.2551
_cell_angle_alpha 112.85
_cell_angle_beta 112.85
_cell_angle_gamma 90.00
loop_
_space_group_symop_operation_xyz
'x,y,z'
loop_
_atom_site_label
_atom_site_type_symbol
_atom_site_fract_x
_atom_site_fract_y
_atom_site_fract_z
Cs1 Cs 0.9560 0.9560 0.9120
Au1 Au 0.5963 0.5963 0.1925
Hg1 Hg 0.2977 0.2977 0.5955
```

**Volume**: 123.4 Å³/f.u.
**Crystal system**: tetragonal

What are the relative energies? In kJ/mol of atoms: a 0.0; b 12.1.